# YFe2Br

Crystalline YFe2Br at its relaxed geometry (GGA-PBE, Alexandria via LeMat-Bulk).

- DOS at the Fermi energy (states/eV/atom) = 1.608
- energy above the lowest structure with this stoichiometry (eV per formula unit) = 2.12
- calculated density (Mg/m³) = 5.7

Unit cell a=7.7728 b=7.7728 c=5.3868 alpha=90.00 beta=90.00 gamma=90.00
With the nearest neighbours (Å) after each atom.
Space group I-42d (No. 122)
Asymmetric unit:
Y  0.0000  0.0000  0.0000 (multiplicity 4)  2 Br 2.69
Fe  0.2060  0.7500  0.6250 (multiplicity 8)  2 Br 2.61, 2 Fe 2.78
Br  0.0000  0.0000  0.5000 (multiplicity 4)  4 Fe 2.61, 2 Y 2.69


# BaBeCu4

Crystalline BaBeCu4 at its relaxed geometry (GGA-PBE, Alexandria via LeMat-Bulk).

- formation enthalpy at 0 K (meV/atom) = 327
- DOS at the Fermi energy (states/eV/atom) = 0.781
- calculated density (Mg/m³) = 6.6

Unit cell a=7.3743 b=7.3743 c=7.3743 alpha=90.00 beta=90.00 gamma=90.00
With the nearest neighbours (Å) after each atom.
Space group F-43m (No. 216)
Asymmetric unit:
Ba  0.0000  0.0000  0.0000 (multiplicity 4)  12 Cu 3.06, 4 Be 3.19
Be  0.2500  0.2500  0.7500 (multiplicity 4)  12 Cu 3.05, 4 Ba 3.19
Cu  0.1218  0.1218  0.3782 (multiplicity 16)  6 Cu 2.54-2.67